1.
CeNdSm, relaxed, DFT PBE; offset from the most stable computed form = 174 meV/atom; formation energy = 0.240 eV/atom; total moment = 0.393 μB/atom
1.0
6.565 0.000 0.000
0.000 3.422 0.000
0.000 0.000 8.815
Ce Nd Sm
2 2 2
Direct
0.250 0.000 0.160 Ce
0.750 0.000 0.840 Ce
0.250 0.500 0.822 Nd
0.750 0.500 0.178 Nd
0.000 0.000 0.500 Sm
0.500 0.000 0.500 Sm


2.
CeNd2Sm8, relaxed, DFT PBE; offset from the most stable computed form = 146 meV/atom; formation energy = 0.184 eV/atom; total moment = 0.110 μB/atom
1.0
9.672 -3.524 0.000
9.672 3.524 0.000
-0.335 0.000 5.707
Ce Nd Sm
1 2 8
Direct
0.000 0.000 0.000 Ce
0.283 0.283 0.745 Nd
0.717 0.717 0.255 Nd
0.136 0.606 0.267 Sm
0.185 0.185 0.232 Sm
0.394 0.864 0.733 Sm
0.455 0.455 0.763 Sm
0.545 0.545 0.237 Sm
0.606 0.136 0.267 Sm
0.815 0.815 0.768 Sm
0.864 0.394 0.733 Sm


3.
CeNd2Sm, relaxed, DFT PBE; offset from the most stable computed form = 2 meV/atom; formation energy = 0.065 eV/atom; total moment = 0.158 μB/atom
1.0
3.591 0.000 0.000
0.000 3.591 0.000
0.000 0.000 10.329
Ce Nd Sm
1 2 1
Direct
0.000 0.000 0.000 Ce
0.500 0.500 0.240 Nd
0.500 0.500 0.760 Nd
0.000 0.000 0.500 Sm


4.
CeNdSm2, relaxed, DFT PBE; offset from the most stable computed form = 140 meV/atom; formation energy = 0.203 eV/atom; total moment = 0.540 μB/atom
1.0
8.151 0.000 0.000
0.000 8.151 0.000
0.000 0.000 8.151
Ce Nd Sm
4 4 8
Direct
0.000 0.000 0.000 Ce
0.000 0.500 0.500 Ce
0.500 0.000 0.500 Ce
0.500 0.500 0.000 Ce
0.000 0.000 0.500 Nd
0.000 0.500 0.000 Nd
0.500 0.000 0.000 Nd
0.500 0.500 0.500 Nd
0.250 0.250 0.250 Sm
0.250 0.250 0.750 Sm
0.250 0.750 0.250 Sm
0.250 0.750 0.750 Sm
0.750 0.250 0.250 Sm
0.750 0.250 0.750 Sm
0.750 0.750 0.250 Sm
0.750 0.750 0.750 Sm


5.
CeNd4Sm7, relaxed, DFT PBE; formation energy = 0.106 eV/atom; total moment = 0.112 μB/atom
1.0
6.615 0.000 0.000
0.852 6.926 0.000
2.109 0.354 9.018
Ce Nd Sm
1 4 7
Direct
0.000 0.000 0.000 Ce
0.163 0.604 0.314 Nd
0.351 0.191 0.721 Nd
0.649 0.809 0.279 Nd
0.837 0.396 0.686 Nd
0.000 0.500 0.000 Sm
0.193 0.099 0.384 Sm
0.318 0.693 0.640 Sm
0.491 0.249 0.051 Sm
0.509 0.751 0.949 Sm
0.682 0.307 0.360 Sm
0.807 0.901 0.616 Sm


6.
CeNd8Sm5, relaxed, DFT PBE; formation energy = 0.174 eV/atom; total moment = 0.082 μB/atom
1.0
6.595 -5.599 0.000
6.595 5.599 0.000
-6.427 0.000 6.630
Ce Nd Sm
1 8 5
Direct
0.000 0.000 0.000 Ce
0.158 0.718 0.726 Nd
0.282 0.842 0.274 Nd
0.348 0.342 0.950 Nd
0.505 0.113 0.239 Nd
0.658 0.652 0.050 Nd
0.723 0.153 0.728 Nd
0.847 0.277 0.272 Nd
0.887 0.495 0.761 Nd
0.004 0.996 0.500 Sm
0.120 0.501 0.242 Sm
0.332 0.327 0.542 Sm
0.499 0.880 0.758 Sm
0.673 0.668 0.458 Sm


7.
CeNdSm, relaxed, DFT PBE; offset from the most stable computed form = 0 meV/atom; formation energy = 0.066 eV/atom; total moment = 0.136 μB/atom
1.0
3.616 0.000 0.000
0.001 6.248 0.000
0.011 2.070 8.647
Ce Nd Sm
2 2 2
Direct
0.250 0.247 0.001 Ce
0.750 0.753 0.999 Ce
0.248 0.478 0.322 Nd
0.752 0.522 0.678 Nd
0.252 0.024 0.675 Sm
0.748 0.976 0.325 Sm


8.
CeNd2Sm3, relaxed, DFT PBE; formation energy = 0.097 eV/atom; total moment = 0.195 μB/atom
1.0
10.221 -1.785 0.000
10.221 1.785 0.000
-10.048 0.000 11.192
Ce Nd Sm
2 4 6
Direct
0.022 0.022 0.142 Ce
0.978 0.978 0.858 Ce
0.187 0.187 0.134 Nd
0.273 0.273 0.624 Nd
0.727 0.727 0.376 Nd
0.813 0.813 0.866 Nd
0.107 0.107 0.645 Sm
0.353 0.353 0.111 Sm
0.434 0.434 0.606 Sm
0.566 0.566 0.394 Sm
0.647 0.647 0.889 Sm
0.893 0.893 0.355 Sm